A relaxed structure of Mg3CrPd, computed with PBEsol.

Cell lengths 4.901, 4.901, 4.901 Å; angles 90.00, 90.00, 90.00 degrees
Site moments in Bohr magnetons follow the coordinates.
Element x y z (fractional)
1 Mg 0.000 0.500 0.000  -0.01
2 Mg 0.500 0.000 0.000  -0.01
3 Mg 0.000 0.000 0.500  -0.01
4 Cr 0.500 0.500 0.500  4.11
5 Pd 0.000 0.000 0.000  0.02

Calculated values
ΔH_f (0 K) = 0.383 eV/atom
Electronic total energy = -3.89 eV per atom

A relaxed structure of In2OsW, computed with PBEsol.

Cell lengths 2.944, 4.612, 5.140 Å; angles 90.00, 94.93, 90.00 degrees
Element x y z (fractional)
1 W 0.000 0.500 0.500
2 In 0.714 0.000 0.754
3 In 0.286 0.000 0.246
4 Os 0.500 0.500 0.000

Calculated values
ΔH_f (0 K) = 0.691 eV/atom
Electronic total energy = -7.31 eV per atom

A relaxed structure of Tl3ICl, computed with PBEsol.

Cell lengths 6.309, 6.309, 6.309 Å; angles 90.00, 90.00, 90.00 degrees
Element x y z (fractional)
1 Tl 0.000 0.000 0.500
2 Tl 0.000 0.500 0.000
3 Tl 0.500 0.000 0.000
4 Cl 0.500 0.500 0.500
5 I 0.000 0.000 0.000

Calculated values
Electronic total energy = -2.30 eV per atom